A plane-wave DFT calculation with PBEsol was carried out for a relaxed As2HPdBr crystal.

```
As2HPdBr
1.0
-4.5216 0.5610 1.2751
-1.3924 -1.9446 -4.0823
0.0459 -4.9085 2.3225
As Br Pd H
2 1 1 1
direct
0.5000 0.0000 0.0000
0.0000 0.5000 0.0000
0.0000 0.0000 0.5000
0.0000 0.0000 0.0000
0.5000 0.5000 0.5000
```

Results
The calculation puts the volume at 24.3 Å³/atom. The magnetic moment is 1.032 μB per formula unit. The value obtained for the total DFT energy (no corrections) is -3.395 eV per atom. As for the space group: No. 123. As for the density of states at the Fermi level: 0.433 states/eV per atom.